10
Lattice="-7.519 1.953 1.022 -2.047 -7.534 -0.666 0.357 -0.396 3.383" Properties=species:S:1:pos:R:3 comment="LaZn2Au2, relaxed, DFT PBE" formation_energy_mev_per_atom=-282 space_group="P4/mbm, No. 127" e_above_lowest_polymorph_ev_per_atom=0.2838 m_tot_mub_per_atom=0.00 pbc="T T T"
Zn -2.402 -4.873 1.416
Zn -2.691 -0.765 1.928
Zn -6.519 -5.211 1.810
Zn -6.808 -1.104 2.322
La 0.000 0.000 0.000
La -4.783 -2.790 0.178
Au -4.567 -5.834 -0.202
Au -7.833 -3.043 0.470
Au -1.733 -2.537 -0.114
Au -4.999 0.253 0.557